Record 1
Here is a crystal of RePdPt3 relaxed with PBEsol from the Alexandria database. Energies are from meta-GGA SCAN.

Unit cell a=4.7153 b=4.7153 c=4.7153 alpha=90.00 beta=90.00 gamma=90.00
Space group Pm-3m (No. 221)
Inequivalent atoms, fractional coordinates:
Re1 0.0000 0.0000 0.0000 [1 per cell]
Pd1 0.5000 0.5000 0.5000 [1 per cell]
Pt1 0.0000 0.0000 0.5000 [3 per cell]

Computed properties:
DFT formation energy = 1.35 eV per atom
Spin magnetization = 0.00 μB per cell
E_tot = -307.7 eV/cell


Record 2
Here is a crystal of WCF2 relaxed with PBEsol from the Alexandria database. Energies are from meta-GGA SCAN.

Unit cell a=2.6664 b=2.6664 c=26.8929 alpha=90.00 beta=90.00 gamma=120.00
Space group R-3m (No. 166, hexagonal axes)
Inequivalent atoms, fractional coordinates:
W1 0.0000 0.0000 0.0000 [3 per cell]
C1 0.0000 0.0000 0.5000 [3 per cell]
F1 0.0000 0.0000 0.3901 [6 per cell]

Computed properties:
E_form (uncorrected) = 0.69 eV per atom
Spin magnetization = 0.00 μB per cell
E above lowest polymorph = 882 meV/atom
E_tot = -252.4 eV/cell


Record 3
Here is a crystal of KTeS2N relaxed with PBEsol from the Alexandria database. Energies are from meta-GGA SCAN.

Unit cell a=5.1436 b=5.1436 c=4.1079 alpha=90.00 beta=90.00 gamma=90.00
Space group P4/mmm (No. 123)
Inequivalent atoms, fractional coordinates:
K1 0.0000 0.0000 0.0000 [1 per cell]
Te1 0.5000 0.5000 0.5000 [1 per cell]
S1 0.0000 0.5000 0.5000 [2 per cell]
N1 0.5000 0.5000 0.0000 [1 per cell]

Computed properties:
E_form (uncorrected) = 0.29 eV per atom
Spin magnetization = 1.33 μB per cell
E_tot = -72.7 eV/cell


Record 4
Here is a crystal of CaCu2Pb relaxed with PBEsol from the Alexandria database. Energies are from meta-GGA SCAN.

Unit cell a=4.1726 b=4.0496 c=9.5588 alpha=90.00 beta=90.00 gamma=90.00
Space group Amm2 (No. 38)
Inequivalent atoms, fractional coordinates:
Ca1 0.0000 0.0000 0.0000 [2 per cell]
Cu1 0.0000 0.0000 0.7102 [2 per cell]
Cu2 0.5000 0.0000 0.5865 [2 per cell]
Pb1 0.5000 0.0000 0.2921 [2 per cell]

Computed properties:
DFT formation energy = -0.11 eV per atom
Spin magnetization = 0.00 μB per cell
E_tot = -232.5 eV/cell